# 1
This record from Alexandria describes a relaxed CuOsCl crystal. The functional is PBE.

abc: 4.2999 4.2999 2.7283
angles: 90.00 90.00 120.00
Last column: nearest neighbours and their distance in Å.
Space group P-6m2 (No. 187)
Inequivalent atoms, fractional coordinates:
1 Cu 0.0000 0.0000 0.0000 [1 per cell]  2 Cu 2.73, 6 Cl 2.83, 6 Os 2.83
2 Os 0.6667 0.3333 0.5000 [1 per cell]  3 Cl 2.48, 2 Os 2.73
3 Cl 0.3333 0.6667 0.5000 [1 per cell]  3 Os 2.48, 2 Cl 2.73

Output
**Formation energy (no corrections)**: 3.0 eV/f.u.
**Density**: 10.994 g cm⁻³
**Density of states at the Fermi level**: 3.1 states/eV/f.u.
**Total energy**: -14.2 eV/cell
**Distance to the lowest polymorph of the same formula**: 310 meV per atom

=====

# 2
This record from Alexandria describes a relaxed Cu2OsCl crystal. The functional is PBE.

abc: 2.9758 2.9758 6.6056
angles: 90.00 90.00 90.00
Last column: nearest neighbours and their distance in Å.
Space group P4mm (No. 99)
Inequivalent atoms, fractional coordinates:
1 Cu 0.0000 0.0000 0.0000 [1 per cell]  4 Cu 2.50, 1 Os 2.79
2 Cu 0.5000 0.5000 0.2041 [1 per cell]  4 Cu 2.50, 4 Os 2.55
3 Os 0.0000 0.0000 0.4226 [1 per cell]  5 Cu 2.55-2.79
4 Cl 0.5000 0.5000 0.7192 [1 per cell]  4 Cu 2.80, 4 Os 2.88, 4 Cl 2.98

Output
**Formation energy (no corrections)**: 2.9 eV/f.u.
**Density**: 10.015 g cm⁻³
**Density of states at the Fermi level**: 3.2 states/eV/f.u.
**Total energy**: -18.4 eV/cell
**Distance to the lowest polymorph of the same formula**: 355 meV per atom

=====

> Among the records above, which one has the highest distance to the lowest polymorph of the same formula?

Cu2OsCl